Below is a geometry-optimized CsAgAsO structure, with properties calculated at the PBE level.

Geometry as POSCAR:
```
CsAgAsO
1.0
-2.195 -3.895 -1.131
3.644 -1.329 -2.495
4.243 -4.957 8.839
Cs O Ag As
2 2 2 2
direct
0.750 0.750 0.855
0.250 0.250 0.145
0.250 0.750 0.000
0.750 0.250 0.000
0.750 0.250 0.500
0.250 0.750 0.500
0.750 0.750 0.394
0.250 0.250 0.606
```

E above lowest polymorph   6.85 kcal/mol of atoms
SG   No. 129



Below is a geometry-optimized Cs2Ag2AsP structure, with properties calculated at the PBE level.

Geometry as POSCAR:
```
Cs2Ag2AsP
1.0
4.635 0.000 0.000
0.000 4.635 0.000
0.000 0.000 8.631
As P Cs Ag
1 1 2 2
direct
0.500 0.500 0.658
0.000 0.000 0.354
0.000 0.000 0.833
0.500 0.500 0.167
0.000 0.500 0.494
0.500 0.000 0.494
```

SG   No. 99
E   -3.02 eV/atom